MnOsW2 | GGA-PBE | optimized geometry

abc: 4.7763 4.7763 4.7357
angles: 100.37 100.37 33.60
Closest atoms and distances in Å follow each position.
Positions (direct):
Mn 0.0000 0.0000 0.0000  2 Os 2.62, 7 W 2.68-2.78, 2 Mn 2.76
Os 0.7307 0.7307 0.2578  2 Mn 2.62, 7 W 2.66-2.81, 2 Os 2.76
W 0.2530 0.2530 0.7808  3 Mn 2.68-2.71, 4 Os 2.69-2.81, 5 W 2.76-2.92
W 0.4864 0.4864 0.4866  3 Os 2.66-2.76, 4 Mn 2.71-2.78, 5 W 2.76-2.92

Values from the calculation:
**Formation energy**: 0.19 eV per atom
**E_tot**: -45.6 eV for the cell shown
**N(E_F)**: 4.0 states/eV per cell

MnV2PtN | GGA-PBE | optimized geometry

abc: 3.9335 3.9335 3.7837
angles: 90.00 90.00 90.00
Closest atoms and distances in Å follow each position.
Positions (direct):
Mn 0.0000 0.0000 0.0000  2 N 1.89
V 0.0000 0.5000 0.5000  2 N 1.97
V 0.5000 0.0000 0.5000  2 N 1.97
Pt 0.5000 0.5000 0.0000  8 V 2.73, 4 Mn 2.78
N 0.0000 0.0000 0.5000  2 Mn 1.89, 4 V 1.97

Values from the calculation:
**E_tot**: -44.9 eV for the cell shown
**N(E_F)**: 4.7 states/eV per cell
**Formation energy without anion corrections**: -0.6302 eV per atom

Hg12Bi5Se3 | GGA-PBE | optimized geometry

abc: 15.0911 15.0911 15.0911
angles: 109.47 109.47 109.47
Closest atoms and distances in Å follow each position.
Positions (direct):
Hg 0.0574 0.6181 0.3802  1 Se 2.86, 2 Bi 2.90-3.06
Hg 0.0574 0.9393 0.6772  1 Se 2.86, 2 Bi 2.90-3.06
Hg 0.0607 0.2379 0.1181  1 Se 2.86, 2 Bi 2.90-3.06
Hg 0.0607 0.3228 0.9426  1 Se 2.86, 2 Bi 2.90-3.06
Hg 0.1181 0.0607 0.2379  1 Se 2.86, 2 Bi 2.90-3.06
Hg 0.1181 0.5574 0.8802  1 Se 2.86, 2 Bi 2.90-3.06
Hg 0.1198 0.7379 0.6772  1 Se 2.86, 2 Bi 2.90-3.06
Hg 0.1198 0.8819 0.4426  1 Se 2.86, 2 Bi 2.90-3.06
Hg 0.1772 0.2379 0.6198  1 Se 2.86, 2 Bi 2.90-3.06
Hg 0.1772 0.4393 0.5574  1 Se 2.86, 2 Bi 2.90-3.06
Hg 0.2379 0.1181 0.0607  1 Se 2.86, 2 Bi 2.90-3.06
Hg 0.2379 0.6198 0.1772  1 Se 2.86, 2 Bi 2.90-3.06
Hg 0.2621 0.3228 0.8802  1 Se 2.86, 2 Bi 2.90-3.06
Hg 0.2621 0.4393 0.3819  1 Se 2.86, 2 Bi 2.90-3.06
Hg 0.3228 0.8802 0.2621  1 Se 2.86, 2 Bi 2.90-3.06
Hg 0.3228 0.9426 0.0607  1 Se 2.86, 2 Bi 2.90-3.06
Hg 0.3802 0.0574 0.6181  1 Se 2.86, 2 Bi 2.90-3.06
Hg 0.3802 0.8228 0.7621  1 Se 2.86, 2 Bi 2.90-3.06
Hg 0.3819 0.2621 0.4393  1 Se 2.86, 2 Bi 2.90-3.06
Hg 0.3819 0.6198 0.9426  1 Se 2.86, 2 Bi 2.90-3.06
Hg 0.4393 0.3819 0.2621  1 Se 2.86, 2 Bi 2.90-3.06
Hg 0.4393 0.5574 0.1772  1 Se 2.86, 2 Bi 2.90-3.06
Hg 0.4426 0.1198 0.8819  1 Se 2.86, 2 Bi 2.90-3.06
Hg 0.4426 0.8228 0.5607  1 Se 2.86, 2 Bi 2.90-3.06
Hg 0.5574 0.1772 0.4393  1 Se 2.86, 2 Bi 2.90-3.06
Hg 0.5574 0.8802 0.1181  1 Se 2.86, 2 Bi 2.90-3.06
Hg 0.5607 0.4426 0.8228  1 Se 2.86, 2 Bi 2.90-3.06
Hg 0.5607 0.6181 0.7379  1 Se 2.86, 2 Bi 2.90-3.06
Hg 0.6181 0.3802 0.0574  1 Se 2.86, 2 Bi 2.90-3.06
Hg 0.6181 0.7379 0.5607  1 Se 2.86, 2 Bi 2.90-3.06
Hg 0.6198 0.1772 0.2379  1 Se 2.86, 2 Bi 2.90-3.06
Hg 0.6198 0.9426 0.3819  1 Se 2.86, 2 Bi 2.90-3.06
Hg 0.6772 0.0574 0.9393  1 Se 2.86, 2 Bi 2.90-3.06
Hg 0.6772 0.1198 0.7379  1 Se 2.86, 2 Bi 2.90-3.06
Hg 0.7379 0.5607 0.6181  1 Se 2.86, 2 Bi 2.90-3.06
Hg 0.7379 0.6772 0.1198  1 Se 2.86, 2 Bi 2.90-3.06
Hg 0.7621 0.3802 0.8228  1 Se 2.86, 2 Bi 2.90-3.06
Hg 0.7621 0.8819 0.9393  1 Se 2.86, 2 Bi 2.90-3.06
Hg 0.8228 0.5607 0.4426  1 Se 2.86, 2 Bi 2.90-3.06
Hg 0.8228 0.7621 0.3802  1 Se 2.86, 2 Bi 2.90-3.06
Hg 0.8802 0.1181 0.5574  1 Se 2.86, 2 Bi 2.90-3.06
Hg 0.8802 0.2621 0.3228  1 Se 2.86, 2 Bi 2.90-3.06
Hg 0.8819 0.4426 0.1198  1 Se 2.86, 2 Bi 2.90-3.06
Hg 0.8819 0.9393 0.7621  1 Se 2.86, 2 Bi 2.90-3.06
Hg 0.9393 0.6772 0.0574  1 Se 2.86, 2 Bi 2.90-3.06
Hg 0.9393 0.7621 0.8819  1 Se 2.86, 2 Bi 2.90-3.06
Hg 0.9426 0.0607 0.3228  1 Se 2.86, 2 Bi 2.90-3.06
Hg 0.9426 0.3819 0.6198  1 Se 2.86, 2 Bi 2.90-3.06
Bi 0.0000 0.0000 0.0000  6 Hg 3.06
Bi 0.0000 0.0000 0.5000  6 Hg 3.06
Bi 0.0000 0.5000 0.0000  6 Hg 3.06
Bi 0.0000 0.5000 0.5000  6 Hg 3.06
Bi 0.1250 0.7500 0.8750  4 Hg 2.90
Bi 0.1250 0.8750 0.2500  4 Hg 2.90
Bi 0.2500 0.1250 0.8750  4 Hg 2.90
Bi 0.2500 0.6250 0.3750  4 Hg 2.90
Bi 0.3750 0.2500 0.6250  4 Hg 2.90
Bi 0.3750 0.6250 0.7500  4 Hg 2.90
Bi 0.5000 0.0000 0.0000  6 Hg 3.06
Bi 0.5000 0.0000 0.5000  6 Hg 3.06
Bi 0.5000 0.5000 0.0000  6 Hg 3.06
Bi 0.5000 0.5000 0.5000  6 Hg 3.06
Bi 0.6250 0.3750 0.2500  4 Hg 2.90
Bi 0.6250 0.7500 0.3750  4 Hg 2.90
Bi 0.7500 0.3750 0.6250  4 Hg 2.90
Bi 0.7500 0.8750 0.1250  4 Hg 2.90
Bi 0.8750 0.1250 0.7500  4 Hg 2.90
Bi 0.8750 0.2500 0.1250  4 Hg 2.90
Se 0.1250 0.2500 0.3750  4 Hg 2.86
Se 0.1250 0.3750 0.7500  4 Hg 2.86
Se 0.2500 0.3750 0.1250  4 Hg 2.86
Se 0.2500 0.8750 0.6250  4 Hg 2.86
Se 0.3750 0.1250 0.2500  4 Hg 2.86
Se 0.3750 0.7500 0.1250  4 Hg 2.86
Se 0.6250 0.2500 0.8750  4 Hg 2.86
Se 0.6250 0.8750 0.7500  4 Hg 2.86
Se 0.7500 0.1250 0.3750  4 Hg 2.86
Se 0.7500 0.6250 0.8750  4 Hg 2.86
Se 0.8750 0.6250 0.2500  4 Hg 2.86
Se 0.8750 0.7500 0.6250  4 Hg 2.86

Values from the calculation:
**E_tot**: -123.4 eV for the cell shown
**N(E_F)**: 39.6 states/eV per cell
**Formation energy without anion corrections**: 0.1316 eV per atom

Si4Hg3 | GGA-PBE | optimized geometry

abc: 5.4472 5.4472 5.4472
angles: 90.00 90.00 90.00
Closest atoms and distances in Å follow each position.
Positions (direct):
Si 0.0000 0.0000 0.0000  6 Hg 2.72
Si 0.0000 0.5000 0.5000  4 Hg 2.72
Si 0.5000 0.0000 0.5000  4 Hg 2.72
Si 0.5000 0.5000 0.0000  4 Hg 2.72
Hg 0.0000 0.0000 0.5000  6 Si 2.72
Hg 0.0000 0.5000 0.0000  6 Si 2.72
Hg 0.5000 0.0000 0.0000  6 Si 2.72

Values from the calculation:
**E_tot**: -16.6 eV for the cell shown
**N(E_F)**: 4.5 states/eV per cell
**Formation energy without anion corrections**: 0.8502 eV per atom

LaErPuIn | GGA-PBE | optimized geometry

abc: 5.4840 5.4840 5.4840
angles: 60.00 60.00 60.00
Closest atoms and distances in Å follow each position.
Positions (direct):
La 0.0000 0.0000 0.0000  4 In 3.36, 4 Pu 3.36
Er 0.5000 0.5000 0.5000  4 In 3.36, 4 Pu 3.36
Pu 0.2500 0.2500 0.2500  4 Er 3.36, 4 La 3.36
In 0.7500 0.7500 0.7500  4 Er 3.36, 4 La 3.36

Values from the calculation:
**Formation energy**: -0.06 eV per atom
**E_tot**: -26.8 eV for the cell shown
**N(E_F)**: 16.9 states/eV per cell

MgPa2PN5 | GGA-PBE | optimized geometry

abc: 6.6350 6.6350 5.3025
angles: 90.00 90.00 90.00
Closest atoms and distances in Å follow each position.
Positions (direct):
Mg 0.0000 0.0000 0.0000  10 N 2.65-2.87
Mg 0.5000 0.5000 0.0000  10 N 2.65-2.87
Pa 0.1807 0.3193 0.5000  4 N 2.25-2.43
Pa 0.3193 0.8193 0.5000  4 N 2.25-2.43
Pa 0.6807 0.1807 0.5000  4 N 2.25-2.43
Pa 0.8193 0.6807 0.5000  4 N 2.25-2.43
P 0.0000 0.5000 0.0000  4 N 1.76
P 0.5000 0.0000 0.0000  4 N 1.76
N 0.0000 0.0000 0.5000  4 Pa 2.43, 2 Mg 2.65
N 0.1329 0.6329 0.2341  1 P 1.76
N 0.1329 0.6329 0.7659  1 P 1.76
N 0.3671 0.1329 0.2341  1 P 1.76
N 0.3671 0.1329 0.7659  1 P 1.76
N 0.5000 0.5000 0.5000  4 Pa 2.43, 2 Mg 2.65
N 0.6329 0.8671 0.2341  1 P 1.76
N 0.6329 0.8671 0.7659  1 P 1.76
N 0.8671 0.3671 0.2341  1 P 1.76
N 0.8671 0.3671 0.7659  1 P 1.76

Values from the calculation:
**E_tot**: -149.2 eV for the cell shown
**N(E_F)**: 11.8 states/eV per cell
**Formation energy without anion corrections**: -0.7732 eV per atom

K4RbTl3I8 | GGA-PBE | optimized geometry

abc: 10.1671 10.1671 10.1671
angles: 59.85 59.85 59.85
Closest atoms and distances in Å follow each position.
Positions (direct):
K 0.0000 0.0000 0.0000  6 I 3.54
K 0.0000 0.5000 0.5000  6 I 3.59
K 0.5000 0.0000 0.5000  6 I 3.59
K 0.5000 0.5000 0.0000  6 I 3.59
Rb 0.5000 0.5000 0.5000  6 I 3.65
Tl 0.0000 0.0000 0.5000  6 I 3.59
Tl 0.0000 0.5000 0.0000  6 I 3.59
Tl 0.5000 0.0000 0.0000  6 I 3.59
I 0.2462 0.2462 0.7541  3 K 3.54-3.59, 2 Tl 3.59, 1 Rb 3.65
I 0.2462 0.7541 0.2462  3 K 3.54-3.59, 2 Tl 3.59, 1 Rb 3.65
I 0.2459 0.7538 0.7538  3 K 3.54-3.59, 2 Tl 3.59, 1 Rb 3.65
I 0.2502 0.2502 0.2502  3 K 3.59, 3 Tl 3.59
I 0.7498 0.7498 0.7498  3 K 3.59, 3 Tl 3.59
I 0.7541 0.2462 0.2462  3 K 3.54-3.59, 2 Tl 3.59, 1 Rb 3.65
I 0.7538 0.2459 0.7538  3 K 3.54-3.59, 2 Tl 3.59, 1 Rb 3.65
I 0.7538 0.7538 0.2459  3 K 3.54-3.59, 2 Tl 3.59, 1 Rb 3.65

Values from the calculation:
**E_tot**: -43.7 eV for the cell shown
**N(E_F)**: 0.0 states/eV per cell
**Formation energy without anion corrections**: -1.1754 eV per atom

BeRhBr2 | GGA-PBE | optimized geometry

abc: 3.4558 3.8568 7.5824
angles: 89.83 89.65 63.41
Closest atoms and distances in Å follow each position.
Positions (direct):
Be 0.0000 0.0000 0.0000  3 Rh 2.18-2.43, 2 Br 2.32
Rh 0.7126 0.5772 0.8812  3 Be 2.18-2.43
Br 0.2937 0.4209 0.6551  2 Rh 2.49
Br 0.5811 0.8318 0.1897  2 Be 2.32, 1 Rh 2.50

Values from the calculation:
**E_tot**: -15.2 eV for the cell shown
**N(E_F)**: 2.6 states/eV per cell
**Formation energy without anion corrections**: -0.1915 eV per atom